VASP calculation (PBE-GGA) on an optimized crystal structure of Pm2SOF2.

Cell lengths 3.9926, 6.8165, 7.3840 Å; angles 90.00, 90.00, 90.00 degrees
Closest atoms and distances in Å follow each position.
Space group Pmc2_1 (No. 26)
Asymmetric unit:
Pm 0.0000 0.1040 0.0000  2 O 2.36-2.48, 3 F 2.39-2.59
Pm 0.5000 0.3664 0.6135  4 F 2.31-2.48, 2 O 2.38
S 0.5000 0.1343 0.3113  5 Pm 2.74-3.05
O 0.0000 0.1869 0.6730  4 Pm 2.36-2.48
F 0.0000 0.4292 0.1217  3 Pm 2.39-2.44, 2 F 2.55, 1 O 2.64
F 0.5000 0.3326 0.9251  2 Pm 2.31-2.48, 2 F 2.55

## Properties
Raw formation energy, eV per atom: -3.350


VASP calculation (PBE-GGA) on an optimized crystal structure of ZnReRh.

Cell lengths 4.4883, 2.8390, 6.9757 Å; angles 90.00, 100.60, 90.00 degrees
Closest atoms and distances in Å follow each position.
Space group Pm (No. 6)
Asymmetric unit:
Zn 0.0000 0.0000 0.0000  5 Rh 2.64-2.69, 3 Re 2.76-2.85, 4 Zn 2.82-2.84
Zn 0.2970 0.5000 0.3295  5 Rh 2.63-2.68, 3 Re 2.73-2.87, 4 Zn 2.82-2.84
Re 0.0221 0.5000 0.6480  3 Rh 2.63-2.89, 6 Re 2.66-2.84, 3 Zn 2.73-2.85
Re 0.5297 0.0000 0.6827  3 Rh 2.62-2.86, 6 Re 2.66-2.84, 3 Zn 2.76-2.87
Rh 0.4923 0.5000 0.9922  3 Re 2.62-2.89, 5 Zn 2.64-2.68, 4 Rh 2.84-2.92
Rh 0.7937 0.0000 0.3392  3 Re 2.63-2.86, 5 Zn 2.63-2.69, 4 Rh 2.84-2.92

## Properties
Energy above the most stable polymorph in this dataset, eV/atom: 0.111
Energy of formation from the pure elements, eV/atom: -0.063


VASP calculation (PBE-GGA) on an optimized crystal structure of AcCuSiH.

Cell lengths 4.2471, 4.2471, 4.6238 Å; angles 90.00, 90.00, 120.00 degrees
Closest atoms and distances in Å follow each position.
Space group P3m1 (No. 156)
Asymmetric unit:
Ac 0.0000 0.0000 0.0000  3 H 2.51
Cu 0.6667 0.3333 0.5214  1 H 1.68
Si 0.3333 0.6667 0.4817  3 Cu 2.46
H 0.6667 0.3333 0.8850  1 Cu 1.68

## Properties
Uncorrected energy, eV for the cell shown: -18.82


VASP calculation (PBE-GGA) on an optimized crystal structure of TbCu9Sn2.

Cell lengths 8.4864, 8.4864, 4.9938 Å; angles 90.00, 90.00, 90.00 degrees
Closest atoms and distances in Å follow each position.
Space group P4/mbm (No. 127)
Asymmetric unit:
Tb 0.0000 0.0000 0.0000  16 Cu 3.08-3.37, 4 Sn 3.33
Cu 0.0000 0.5000 0.5000  8 Cu 2.43-2.59
Cu 0.0652 0.2023 0.5000  8 Cu 2.55-2.79
Cu 0.1725 0.6725 0.2462  7 Cu 2.43-2.61, 1 Sn 2.67
Sn 0.1297 0.3703 0.0000  12 Cu 2.67-2.94

## Properties
Energy above the most stable polymorph in this dataset, eV/atom: 0.000
Energy of formation from the pure elements, eV/atom: -0.156


VASP calculation (PBE-GGA) on an optimized crystal structure of TaAgHg2.

Cell lengths 3.0483, 3.0483, 29.4207 Å; angles 90.00, 90.00, 120.00 degrees
Closest atoms and distances in Å follow each position.
Space group R-3m (No. 166, hexagonal axes)
Asymmetric unit:
Ta 0.0000 0.0000 0.0000  6 Hg 3.02, 6 Ta 3.05
Ag 0.0000 0.0000 0.5000  6 Hg 3.01, 6 Ag 3.05
Hg 0.0000 0.0000 0.2498  3 Ag 3.01, 3 Ta 3.02, 6 Hg 3.05

## Properties
Energy of formation from the pure elements, eV/atom: 0.296


VASP calculation (PBE-GGA) on an optimized crystal structure of HgGe3Os.

Cell lengths 4.8468, 4.8468, 4.8468 Å; angles 90.00, 90.00, 90.00 degrees
Closest atoms and distances in Å follow each position.
Space group Pm-3m (No. 221)
Asymmetric unit:
Hg 0.0000 0.0000 0.0000  12 Ge 3.43
Ge 0.0000 0.5000 0.5000  2 Os 2.42
Os 0.5000 0.5000 0.5000  6 Ge 2.42

## Properties
Energy above the most stable polymorph in this dataset, eV/atom: 0.000
Energy of formation from the pure elements, eV/atom: 0.334


VASP calculation (PBE-GGA) on an optimized crystal structure of Na4InBr6.

Cell lengths 4.0647, 14.2419, 22.0539 Å; angles 90.00, 90.00, 90.00 degrees
Closest atoms and distances in Å follow each position.
Space group Cmcm (No. 63)
Asymmetric unit:
Na 0.0000 0.0984 0.1243  6 Br 2.88-3.16
Na 0.0000 0.3599 0.0397  6 Br 2.94-3.05
In 0.0000 0.1455 0.7500  6 Br 2.95-3.07
Br 0.0000 0.0000 0.0000  6 Na 2.98-3.08
Br 0.0000 0.2046 0.2500  2 In 2.95, 2 Na 3.16
Br 0.0000 0.2735 0.5833  5 Na 2.88-2.98
Br 0.0000 0.4498 0.1655  3 Na 3.05-3.07, 2 In 3.07

## Properties
Raw formation energy, eV per atom: -1.269


VASP calculation (PBE-GGA) on an optimized crystal structure of PaBiAs.

Cell lengths 3.8161, 3.8161, 11.0154 Å; angles 90.00, 90.00, 90.00 degrees
Closest atoms and distances in Å follow each position.
Space group I4mm (No. 107)
Asymmetric unit:
Pa 0.0000 0.0000 0.0000  4 As 2.89
Bi 0.0000 0.0000 0.3072  1 As 3.17, 5 Pa 3.38-3.43
As 0.0000 0.0000 0.5950  4 Pa 2.89, 1 Bi 3.17

## Properties
Energy above the most stable polymorph in this dataset, eV/atom: 0.147
Energy of formation from the pure elements, eV/atom: -0.395


VASP calculation (PBE-GGA) on an optimized crystal structure of Hf2Pd3Au4.

Cell lengths 9.4374, 4.0208, 8.8044 Å; angles 90.00, 111.11, 90.00 degrees
Closest atoms and distances in Å follow each position.
Space group C2/m (No. 12)
Asymmetric unit:
Hf 0.1703 0.0000 0.2318  5 Pd 2.76-2.90, 7 Au 2.89-2.99
Pd 0.0000 0.5000 0.0000  4 Hf 2.90, 8 Au 2.92-2.95
Pd 0.1725 0.0000 0.5613  3 Hf 2.76-2.89, 6 Au 2.86-2.96, 3 Pd 2.91-3.04
Au 0.0030 0.5000 0.3336  6 Pd 2.86-2.96, 3 Au 2.86-2.95, 3 Hf 2.89-2.94
Au 0.1657 0.0000 0.8903  4 Au 2.84-2.86, 4 Pd 2.92-2.95, 4 Hf 2.96-2.99

## Properties
Energy of formation from the pure elements, eV/atom: -0.602


VASP calculation (PBE-GGA) on an optimized crystal structure of LiCd2Au2.

Cell lengths 9.8435, 4.4942, 8.5889 Å; angles 90.00, 101.81, 90.00 degrees
Closest atoms and distances in Å follow each position.
Space group C2/m (No. 12)
Asymmetric unit:
Li 0.2447 0.0000 0.2764  4 Au 2.71-2.86, 3 Cd 2.97-2.99
Cd 0.0553 0.5000 0.3529  7 Au 2.85-3.18, 2 Cd 2.95-2.96, 3 Li 2.99-3.07
Cd 0.1575 0.5000 0.0515  3 Au 2.86-2.89, 4 Cd 2.96-3.13, 3 Li 2.97-3.16
Au 0.0461 0.0000 0.8543  2 Au 2.83-2.84, 1 Li 2.85, 5 Cd 2.86-2.91
Au 0.1492 0.0000 0.5690  3 Li 2.71-2.86, 2 Au 2.84-2.93, 3 Cd 2.85-2.94

## Properties
Energy above the most stable polymorph in this dataset, eV/atom: 0.000
Energy of formation from the pure elements, eV/atom: -0.299


VASP calculation (PBE-GGA) on an optimized crystal structure of BeAlPt3.

Cell lengths 4.5185, 4.5185, 4.5185 Å; angles 90.00, 90.00, 90.00 degrees
Closest atoms and distances in Å follow each position.
Space group Pm-3m (No. 221)
Asymmetric unit:
Be 0.0000 0.0000 0.0000  12 Pt 3.20
Al 0.5000 0.5000 0.5000  6 Pt 2.26
Pt 0.0000 0.5000 0.5000  2 Al 2.26

## Properties
Energy above the most stable polymorph in this dataset, eV/atom: 0.860
Energy of formation from the pure elements, eV/atom: 0.581


VASP calculation (PBE-GGA) on an optimized crystal structure of Li2ZrF6.

Cell lengths 5.0645, 5.0645, 4.7171 Å; angles 90.00, 90.00, 120.00 degrees
Closest atoms and distances in Å follow each position.
Space group P-31m (No. 162)
Asymmetric unit:
Li 0.3333 0.6667 0.0000  6 F 2.06
Zr 0.0000 0.0000 0.5000  6 F 2.05
F 0.0000 0.3277 0.7560  1 Zr 2.05, 2 Li 2.06

## Properties
Energy above the most stable polymorph in this dataset, eV/atom: 0.000
Raw formation energy, eV per atom: -3.397


no.,N(E_F) (states/eV/atom)
1,0.000
2,0.701
3,0.517
4,0.305
5,1.054
6,1.282
7,0.354
8,1.408
9,0.328
10,0.267
11,0.558
12,0.000